A | A geometry-optimized BeV3 structure, computed with GGA-PBE.

Properties
Volume in Å³ per atom: 12.8
SG: No. 25

abc: 2.377 2.507 8.567
angles: 90.00 90.00 90.00
Fractional coordinates of all 4 atoms:
Be (0.000, 0.000, 0.000)
V (0.000, 0.500, 0.257)
V (0.500, 0.000, 0.510)
V (0.500, 0.500, 0.790)

B | A geometry-optimized BeV3 structure, computed with GGA-PBE.

Properties
Volume in Å³ per atom: 12.3
SG: No. 225

abc: 4.111 4.111 4.111
angles: 60.00 60.00 60.00
Fractional coordinates of all 4 atoms:
Be (0.000, 0.000, 0.000)
V (0.250, 0.250, 0.250)
V (0.500, 0.500, 0.500)
V (0.750, 0.750, 0.750)

What should be chosen as the most stable of them? Choose B.